{
  "formula": "UTl2CoO6",
  "functional": "PBE with a Hubbard U",
  "state": "optimized geometry",
  "lattice_angstrom": [[-2.935, 3.741, 3.375], [-5.052, -1.522, -2.481], [-4.499, -1.881, 3.317]],
  "species": ["U", "Tl", "Tl", "Co", "O", "O", "O", "O", "O", "O"],
  "frac_coords": [[0.500, 0.500, 0.000], [0.250, 0.750, 0.500], [0.750, 0.250, 0.500], [0.000, 0.000, 0.000], [0.231, 0.769, 0.000], [0.745, 0.746, 0.000], [0.254, 0.254, 0.492], [0.769, 0.231, 0.000], [0.255, 0.254, 0.000], [0.746, 0.746, 0.508]],
  "dft_energy_ev_per_atom": -6.702,
  "rho_g_cm3": 9.38,
  "dos_at_fermi_per_ev_cell": 3.2,
  "magnetic_moment_mub_per_fu": 3.9,
  "volume_a3_per_fu": 141.93
}